No. 1
# SCAN GeMoSBr2, single point on PBEsol structure
data_GeMoSBr2
_cell_length_a 5.143
_cell_length_b 5.143
_cell_length_c 4.478
_cell_angle_alpha 90.00
_cell_angle_beta 90.00
_cell_angle_gamma 90.00
_symmetry_space_group_name_H-M 'P 4/m m m'
_symmetry_Int_Tables_number 123
_symmetry_space_group_name_Hall '-P 4 2'
loop_
_atom_site_label
_atom_site_type_symbol
_atom_site_fract_x
_atom_site_fract_y
_atom_site_fract_z
_atom_site_occupancy
Ge1 Ge 0.000 0.000 0.000 1
Mo1 Mo 0.500 0.500 0.500 1
S1 S 0.500 0.500 0.000 1
Br1 Br 0.000 0.500 0.500 1
# Raw formation energy, eV per atom: 0.286
# Magnetization, μB/cell: 2.9
# Mass density, Mg/m³: 5.05



No. 2
# SCAN GeRuBr2N, single point on PBEsol structure
data_GeRuBr2N
_cell_length_a 5.265
_cell_length_b 5.265
_cell_length_c 3.608
_cell_angle_alpha 90.00
_cell_angle_beta 90.00
_cell_angle_gamma 90.00
_symmetry_space_group_name_H-M 'P 4/m m m'
_symmetry_Int_Tables_number 123
_symmetry_space_group_name_Hall '-P 4 2'
loop_
_atom_site_label
_atom_site_type_symbol
_atom_site_fract_x
_atom_site_fract_y
_atom_site_fract_z
_atom_site_occupancy
Ge1 Ge 0.000 0.000 0.000 1
Ru1 Ru 0.500 0.500 0.000 1
Br1 Br 0.000 0.500 0.500 1
N1 N 0.500 0.500 0.500 1
# Raw formation energy, eV per atom: 0.891
# Magnetization, μB/cell: 0.0
# Mass density, Mg/m³: 5.77



No. 3
# SCAN NbZn2GeBr, single point on PBEsol structure
data_NbZn2GeBr
_cell_length_a 5.069
_cell_length_b 5.069
_cell_length_c 4.789
_cell_angle_alpha 90.00
_cell_angle_beta 90.00
_cell_angle_gamma 90.00
_symmetry_space_group_name_H-M 'P 4/m m m'
_symmetry_Int_Tables_number 123
_symmetry_space_group_name_Hall '-P 4 2'
loop_
_atom_site_label
_atom_site_type_symbol
_atom_site_fract_x
_atom_site_fract_y
_atom_site_fract_z
_atom_site_occupancy
Nb1 Nb 0.000 0.000 0.000 1
Zn1 Zn 0.000 0.500 0.000 1
Ge1 Ge 0.500 0.500 0.500 1
Br1 Br 0.000 0.000 0.500 1
# Raw formation energy, eV per atom: 0.921
# Magnetization, μB/cell: 0.0
# Mass density, Mg/m³: 5.08